--- P ---
Ba3Tl4Hg4 after structural relaxation. Source: Alexandria, functional PBE-GGA.

a b c (Å): 4.2646 5.3281 16.5838
angles (deg): 99.21 97.37 90.05
Atoms (fractional coordinates):
Ba (0.0000, 0.0000, 0.0000)
Ba (0.1442, 0.6439, 0.2876)
Ba (0.8558, 0.3561, 0.7124)
Tl (0.2574, 0.2578, 0.5161)
Tl (0.4069, 0.9064, 0.8138)
Tl (0.5931, 0.0936, 0.1862)
Tl (0.7426, 0.7422, 0.4839)
Hg (0.3146, 0.8138, 0.6278)
Hg (0.4532, 0.4525, 0.9061)
Hg (0.5468, 0.5475, 0.0939)
Hg (0.6854, 0.1862, 0.3722)

Values from the calculation:
Fermi-level density of states (states/eV per cell): 5.0

--- Q ---
Ba3Tl4Hg4 after structural relaxation. Source: Alexandria, functional PBE-GGA.

a b c (Å): 10.0331 10.0331 10.0331
angles (deg): 151.24 129.75 58.93
Atoms (fractional coordinates):
Ba (0.0000, 0.0000, 0.0000)
Ba (0.3670, 0.8670, 0.5000)
Ba (0.6330, 0.1330, 0.5000)
Tl (0.0285, 0.3330, 0.6955)
Tl (0.3626, 0.6670, 0.6955)
Tl (0.6374, 0.3330, 0.3045)
Tl (0.9715, 0.6670, 0.3045)
Hg (0.2126, 0.2126, 0.0000)
Hg (0.3217, 0.5000, 0.8217)
Hg (0.6783, 0.5000, 0.1783)
Hg (0.7874, 0.7874, 0.0000)

Values from the calculation:
Fermi-level density of states (states/eV per cell): 8.1

Which of them is the least stable? Correct choice: Q.